1.
# PBE-GGA Ta2InFe, relaxed
# Total magnetic moment (Bohr magnetons per cell): 0.00
# Energy relative to the elements (eV per atom): 0.4743
# DOS(E_F) (states/eV per atom): 1.211
data_Ta2InFe
_symmetry_space_group_name_H-M 'I -4 2 d'
_symmetry_Int_Tables_number 122
_symmetry_space_group_name_Hall 'I -4 2bw'
_cell_length_a 7.420
_cell_length_b 7.420
_cell_length_c 5.368
_cell_angle_alpha 90.00
_cell_angle_beta 90.00
_cell_angle_gamma 90.00
loop_
_atom_site_label
_atom_site_fract_x
_atom_site_fract_y
_atom_site_fract_z
Ta1 0.183 0.250 0.125
In1 0.000 0.000 0.500
Fe1 0.000 0.000 0.000

***

2.
# PBE-GGA Ta2InFe, relaxed
# Total magnetic moment (Bohr magnetons per cell): 3.95
# Energy relative to the elements (eV per atom): 0.2859
# DOS(E_F) (states/eV per atom): 1.413
data_Ta2InFe
_symmetry_space_group_name_H-M 'I -4 m 2'
_symmetry_Int_Tables_number 119
_symmetry_space_group_name_Hall 'I -4 -2'
_cell_length_a 3.993
_cell_length_b 3.993
_cell_length_c 8.702
_cell_angle_alpha 90.00
_cell_angle_beta 90.00
_cell_angle_gamma 90.00
loop_
_atom_site_label
_atom_site_fract_x
_atom_site_fract_y
_atom_site_fract_z
Ta1 0.000 0.000 0.000
Ta2 0.000 0.500 0.250
In1 0.000 0.000 0.500
Fe1 0.000 0.500 0.750

***

3.
# PBE-GGA Ta2InFe, relaxed
# Total magnetic moment (Bohr magnetons per cell): 4.88
# Energy relative to the elements (eV per atom): 0.2954
# DOS(E_F) (states/eV per atom): 1.062
data_Ta2InFe
_symmetry_space_group_name_H-M 'R -3 m'
_symmetry_Int_Tables_number 166
_symmetry_space_group_name_Hall '-R 3 2"'
_cell_length_a 3.0121
_cell_length_b 3.0121
_cell_length_c 26.9992
_cell_angle_alpha 90.00
_cell_angle_beta 90.00
_cell_angle_gamma 120.00
loop_
_atom_site_label
_atom_site_fract_x
_atom_site_fract_y
_atom_site_fract_z
Ta1 0.0000 0.0000 0.2394
In1 0.0000 0.0000 0.0000
Fe1 0.0000 0.0000 0.5000

***

4.
# PBE-GGA Ta2InFe, relaxed
# Total magnetic moment (Bohr magnetons per cell): 4.01
# Energy relative to the elements (eV per atom): 0.2571
# DOS(E_F) (states/eV per atom): 0.956
data_Ta2InFe
_symmetry_space_group_name_H-M 'C 1 2/m 1'
_symmetry_Int_Tables_number 12
_cell_length_a 5.711
_cell_length_b 8.258
_cell_length_c 2.944
_cell_angle_alpha 90.00
_cell_angle_beta 90.48
_cell_angle_gamma 90.00
loop_
_symmetry_equiv_pos_as_xyz
'x,y,z'
'-x,-y,-z'
'-x,y,-z'
'x,-y,z'
'x+1/2,y+1/2,z'
'-x+1/2,-y+1/2,-z'
'-x+1/2,y+1/2,-z'
'x+1/2,-y+1/2,z'
loop_
_atom_site_label
_atom_site_fract_x
_atom_site_fract_y
_atom_site_fract_z
Ta1 0.250 0.250 0.000
In1 0.000 0.000 0.500
Fe1 0.000 0.500 0.500